VASP calculation (PBE) on crystalline ZrZnAgAu at its relaxed geometry.

Structure (POSCAR):
```
ZrZnAgAu
1.0
0.000 3.310 3.310
3.310 0.000 3.310
3.310 3.310 0.000
Zr Zn Ag Au
1 1 1 1
Cartesian
0.000 0.000 0.000
3.310 3.310 3.310
4.965 4.965 4.965
1.655 1.655 1.655
```

- ΔH_f (0 K) (eV per atom) = -0.300
- crystal system = cubic
- raw total energy (eV per cell) = -17.10

---

VASP calculation (PBE) on crystalline Be2HgPd at its relaxed geometry.

Structure (POSCAR):
```
Be2HgPd
1.0
0.000 3.037 3.037
3.037 0.000 3.037
3.037 3.037 0.000
Be Hg Pd
2 1 1
Cartesian
0.000 0.000 0.000
1.519 1.519 1.519
4.556 4.556 4.556
3.037 3.037 3.037
```

- crystal system = cubic
- raw total energy (eV per cell) = -12.03

---

VASP calculation (PBE) on crystalline BaErAl4Pd2 at its relaxed geometry.

Structure (POSCAR):
```
BaErAl4Pd2
1.0
7.403 0.000 0.000
0.000 2.127 5.454
0.000 -2.127 5.454
Ba Er Al Pd
1 1 4 2
Cartesian
0.000 0.000 0.000
3.701 0.000 1.196
1.521 0.000 7.849
2.348 0.000 4.208
5.055 0.000 4.208
5.881 0.000 7.849
0.000 0.000 2.983
3.701 0.000 9.145
```

- crystal system = orthorhombic
- raw total energy (eV per cell) = -36.46